1.
A relaxed structure of Nd4Zn3Sn. Source: Alexandria via LeMat-Bulk, functional GGA-PBE.

The spin magnetization is 0.00 μB per atom. The value obtained for the formation energy is -0.411 eV/atom. For the total energy, the calculation gives -90.56 eV for the cell shown.

The structure belongs to space group R-3m (No. 166, hexagonal axes); the cell edges are 5.2700, 5.2700 and 26.1912 Å and the angles 90.00°, 90.00° and 120.00°. The distinct sites, in fractional coordinates, are Nd at (0.0000, 0.0000, 0.1214), Nd at (0.0000, 0.0000, 0.3710), Zn at (0.0000, 0.0000, 0.0000), Zn at (0.0000, 0.0000, 0.2529) and Sn at (0.0000, 0.0000, 0.5000).

2.
A relaxed structure of Y6HoEr2Tm. Source: Alexandria via LeMat-Bulk, functional GGA-PBE.

The spin magnetization is 0.00 μB per atom. The value obtained for the formation energy is 0.120 eV/atom. For the total energy, the calculation gives -223.02 eV for the cell shown.

The structure belongs to space group C2/c (No. 15); the cell edges are 9.061, 14.917 and 9.588 Å and the angles 90.00°, 98.50° and 90.00°. The distinct sites, in fractional coordinates, are Y at (0.062, 0.184, 0.444), Y at (0.102, 0.395, 0.619), Y at (0.206, 0.223, 0.816), Ho at (0.000, 0.408, 0.250), Er at (0.246, 0.051, 0.046) and Tm at (0.000, 0.024, 0.750).

3.
A relaxed structure of LaMo. Source: Alexandria via LeMat-Bulk, functional GGA-PBE.

The spin magnetization is 0.00 μB per atom. The value obtained for the formation energy is 0.918 eV/atom. For the total energy, the calculation gives -55.69 eV for the cell shown.

The structure belongs to space group P4_2/mnm (No. 136); the cell edges are 6.197, 6.197 and 5.931 Å and the angles 90.00°, 90.00° and 90.00°. The distinct sites, in fractional coordinates, are La at (0.189, 0.189, 0.000) and Mo at (0.131, 0.131, 0.500).

4.
A relaxed structure of KNiPt. Source: Alexandria via LeMat-Bulk, functional GGA-PBE.

The spin magnetization is 0.37 μB per atom. The value obtained for the formation energy is 0.791 eV/atom. For the total energy, the calculation gives -42.19 eV for the cell shown.

The structure belongs to space group F-43m (No. 216); the cell edges are 6.399, 6.399 and 6.399 Å and the angles 90.00°, 90.00° and 90.00°. The distinct sites, in fractional coordinates, are K at (0.000, 0.000, 0.000), Ni at (0.250, 0.250, 0.750) and Pt at (0.000, 0.000, 0.500).

5.
A relaxed structure of LaB2Ir. Source: Alexandria via LeMat-Bulk, functional GGA-PBE.

The spin magnetization is 0.00 μB per atom. The value obtained for the formation energy is -0.450 eV/atom. For the total energy, the calculation gives -115.77 eV for the cell shown.

The structure belongs to space group I4_1/amd (No. 141, origin choice 2); the cell edges are 4.713, 4.713 and 12.849 Å and the angles 90.00°, 90.00° and 90.00°. The distinct sites, in fractional coordinates, are La at (0.000, 0.250, 0.375), B at (0.000, 0.000, 0.000) and Ir at (0.000, 0.250, 0.875).

6.
A relaxed structure of CuTcMo2. Source: Alexandria via LeMat-Bulk, functional GGA-PBE.

The spin magnetization is 0.00 μB per atom. The value obtained for the formation energy is 0.310 eV/atom. For the total energy, the calculation gives -104.66 eV for the cell shown.

The structure belongs to space group R3m (No. 160, hexagonal axes); the cell edges are 2.7444, 2.7444 and 27.4501 Å and the angles 90.00°, 90.00° and 120.00°. The distinct sites, in fractional coordinates, are Cu at (0.0000, 0.0000, 0.0000), Tc at (0.0000, 0.0000, 0.2525), Mo at (0.0000, 0.0000, 0.5045) and Mo at (0.0000, 0.0000, 0.7488).

7.
A relaxed structure of Sr3Pa3TcN8. Source: Alexandria via LeMat-Bulk, functional GGA-PBE.

The spin magnetization is 0.13 μB per atom. As for the uncorrected formation energy: -1090 meV per atom. For the total energy, the calculation gives -380.57 eV for the cell shown.

The structure belongs to space group R-3m (No. 166, hexagonal axes); the cell edges are 6.9799, 6.9799 and 17.8675 Å and the angles 90.00°, 90.00° and 120.00°. The distinct sites, in fractional coordinates, are Sr at (0.0000, 0.5000, 0.0000), Pa at (0.0000, 0.5000, 0.5000), Tc at (0.0000, 0.0000, 0.5000), N at (0.0000, 0.0000, 0.2366) and N at (0.0050, 0.5025, 0.2270).

8.
A relaxed structure of BaHgMo2. Source: Alexandria via LeMat-Bulk, functional GGA-PBE.

The spin magnetization is 0.00 μB per atom. The value obtained for the formation energy is 1.104 eV/atom. For the total energy, the calculation gives -38.94 eV for the cell shown.

The structure belongs to space group Immm (No. 71); the cell edges are 2.907, 5.529 and 11.247 Å and the angles 90.00°, 90.00° and 90.00°. The distinct sites, in fractional coordinates, are Ba at (0.000, 0.000, 0.000), Hg at (0.000, 0.000, 0.500) and Mo at (0.000, 0.500, 0.229).